[1]
# CaThCoRh

A relaxed CaThCoRh crystal (PBE, Alexandria via LeMat-Bulk).

Calculated values
**M_tot**: 0.54 μB per formula unit
**DFT formation energy**: -0.275 eV per atom

Cell and atoms, written as extended XYZ:
```
4
Lattice="0.000 3.456 3.456 3.456 0.000 3.456 3.456 3.456 0.000" Properties=species:S:1:pos:R:3 pbc="T T T"
Ca 0.000 0.000 0.000
Th 3.456 3.456 3.456
Co 1.728 1.728 1.728
Rh 5.184 5.184 5.184
```

***

[2]
# FeGePd3

A relaxed FeGePd3 crystal (PBE, Alexandria via LeMat-Bulk).

Calculated values
**M_tot**: 3.51 μB per formula unit
**Offset from the most stable computed form**: 0 kJ/mol of formula units
**DFT formation energy**: 0.521 eV per atom

Cell and atoms, written as extended XYZ:
```
5
Lattice="4.594 0.000 0.000 0.000 4.594 0.000 0.000 0.000 4.594" Properties=species:S:1:pos:R:3 pbc="T T T"
Fe 0.000 0.000 0.000
Ge 2.297 2.297 2.297
Pd 0.000 2.297 2.297
Pd 2.297 0.000 2.297
Pd 2.297 2.297 0.000
```

***

[3]
# PmHo2Os

A relaxed PmHo2Os crystal (PBE, Alexandria via LeMat-Bulk).

Calculated values
**M_tot**: 0.00 μB per formula unit
**Offset from the most stable computed form**: 6 kJ/mol of formula units
**DFT formation energy**: -0.210 eV per atom

Cell and atoms, written as extended XYZ:
```
8
Lattice="1.985 -6.062 0.000 1.985 6.062 0.000 0.000 0.000 9.039" Properties=species:S:1:pos:R:3 pbc="T T T"
Pm 1.985 5.168 6.779
Pm 1.985 -5.168 2.260
Ho 1.985 1.784 5.129
Ho 1.985 1.784 8.430
Ho 1.985 -1.784 0.609
Ho 1.985 -1.784 3.910
Os 1.985 2.958 2.260
Os 1.985 -2.958 6.779
```

***

[4]
# NbPt6Rh2

A relaxed NbPt6Rh2 crystal (PBE, Alexandria via LeMat-Bulk).

Calculated values
**M_tot**: 0.00 μB per formula unit
**Offset from the most stable computed form**: 50 kJ/mol of formula units
**DFT formation energy**: -0.319 eV per atom

Cell and atoms, written as extended XYZ:
```
9
Lattice="4.448 -1.967 0.000 4.448 1.967 0.000 -2.673 0.000 7.968" Properties=species:S:1:pos:R:3 pbc="T T T"
Nb 0.000 0.000 0.000
Pt -1.770 0.000 5.369
Pt 2.664 0.000 0.876
Pt 1.777 0.000 3.578
Pt 4.446 0.000 4.390
Pt 3.559 0.000 7.093
Pt 7.993 0.000 2.599
Rh 0.936 0.000 6.234
Rh 5.287 0.000 1.735
```

***

[5]
# Nb5H6

A relaxed Nb5H6 crystal (PBE, Alexandria via LeMat-Bulk).

Calculated values
**M_tot**: 0.00 μB per formula unit
**DFT total energy**: -0.243 Ha/atom

Cell and atoms, written as extended XYZ:
```
11
Lattice="2.993 0.000 0.000 0.013 4.884 0.000 0.505 2.438 7.375" Properties=species:S:1:pos:R:3 pbc="T T T"
Nb 0.000 0.000 0.000
Nb 0.944 4.883 2.819
Nb 1.514 4.879 5.955
Nb 1.996 2.443 1.420
Nb 2.566 2.440 4.556
H 1.077 3.715 4.458
H 1.091 6.048 4.461
H 1.496 1.236 0.003
H 2.014 6.087 7.371
H 2.419 1.275 2.913
H 2.433 3.607 2.916
```

***

[6]
# KZnMo3

A relaxed KZnMo3 crystal (PBE, Alexandria via LeMat-Bulk).

Calculated values
**M_tot**: 0.00 μB per formula unit
**Offset from the most stable computed form**: 0 kJ/mol of formula units
**DFT formation energy**: 2.086 eV per atom

Cell and atoms, written as extended XYZ:
```
5
Lattice="4.786 0.000 0.000 0.000 4.786 0.000 0.000 0.000 4.786" Properties=species:S:1:pos:R:3 pbc="T T T"
K 0.000 0.000 0.000
Zn 2.393 2.393 2.393
Mo 0.000 2.393 2.393
Mo 2.393 0.000 2.393
Mo 2.393 2.393 0.000
```

***

[7]
# Ce3As2PRh9

A relaxed Ce3As2PRh9 crystal (PBE, Alexandria via LeMat-Bulk).

Calculated values
**M_tot**: 1.56 μB per formula unit
**DFT formation energy**: -0.571 eV per atom

Cell and atoms, written as extended XYZ:
```
15
Lattice="6.732 0.000 0.000 -3.366 5.830 0.000 0.000 0.000 7.397" Properties=species:S:1:pos:R:3 pbc="T T T"
Ce 0.000 0.000 0.000
Ce 0.000 3.887 5.223
Ce 3.366 1.943 2.174
As 0.000 3.887 1.607
As 3.366 1.943 5.790
P 0.000 0.000 3.698
Rh -1.683 2.915 0.000
Rh 0.000 1.628 2.127
Rh -1.956 5.016 2.127
Rh 1.410 0.814 5.269
Rh 3.366 0.000 0.000
Rh 1.683 2.915 0.000
Rh 1.956 5.016 2.127
Rh 5.322 0.814 5.269
Rh 3.366 4.202 5.269
```

***

[8]
# SiHg2Ir

A relaxed SiHg2Ir crystal (PBE, Alexandria via LeMat-Bulk).

Calculated values
**Formation energy (no corrections)**: -0.020 eV per atom
**M_tot**: 0.00 μB per formula unit

Cell and atoms, written as extended XYZ:
```
4
Lattice="3.021 0.000 0.000 0.000 3.021 0.000 0.000 0.000 8.951" Properties=species:S:1:pos:R:3 pbc="T T T"
Si 0.000 0.000 0.000
Hg 0.000 0.000 6.360
Hg 1.511 1.511 3.877
Ir 1.511 1.511 1.096
```

***

Going through the records in order, we get V values of 20.6, 19.4, 27.2, 15.5, 9.8, 21.9, 19.4, 20.4 Å³ per atom.